[1]
Material: Cr5InSe8
Method: DFT, SCAN
State: PBEsol geometry

ΔE_f (raw)	-0.824	eV/atom
M_tot	15.00	μB per cell
calculated density	5.9	g/cm3
symmetry	No. 12

a = 9.429 Å, b = 9.429 Å, c = 8.753 Å
α = 103.95°, β = 103.95°, γ = 22.02°
Fractional positions:
Cr: 0.000 0.000 0.000
Cr: 0.296 0.296 0.665
Cr: 0.344 0.344 0.025
Cr: 0.656 0.656 0.975
Cr: 0.704 0.704 0.335
In: 0.500 0.500 0.500
Se: 0.084 0.084 0.817
Se: 0.168 0.168 0.495
Se: 0.237 0.237 0.156
Se: 0.427 0.427 0.838
Se: 0.573 0.573 0.162
Se: 0.763 0.763 0.844
Se: 0.832 0.832 0.505
Se: 0.916 0.916 0.183


[2]
Material: CrInSe2
Method: DFT, SCAN
State: PBEsol geometry

ΔE_f (raw)	0.036	eV/atom
M_tot	1.82	μB per cell
calculated density	7.1	g/cm3
symmetry	No. 99

a = 2.990 Å, b = 2.990 Å, c = 8.514 Å
α = 90.00°, β = 90.00°, γ = 90.00°
Fractional positions:
Cr: 0.000 0.000 0.000
In: 0.500 0.500 0.230
Se: 0.000 0.000 0.511
Se: 0.500 0.500 0.855


[3]
Material: CrIn2Se
Method: DFT, SCAN
State: PBEsol geometry

ΔE_f (raw)	-0.034	eV/atom
M_tot	2.98	μB per cell
calculated density	7.6	g/cm3
symmetry	No. 99

a = 3.024 Å, b = 3.024 Å, c = 8.666 Å
α = 90.00°, β = 90.00°, γ = 90.00°
Fractional positions:
Cr: 0.000 0.000 0.000
In: 0.000 0.000 0.533
In: 0.500 0.500 0.229
Se: 0.500 0.500 0.862


[4]
Material: CrInSi2
Method: DFT, SCAN
State: PBEsol geometry

ΔE_f (raw)	0.563	eV/atom
M_tot	3.82	μB per cell
calculated density	5.5	g/cm3
symmetry	No. 225

a = 4.564 Å, b = 4.564 Å, c = 4.564 Å
α = 60.00°, β = 60.00°, γ = 60.00°
Fractional positions:
Cr: 0.000 0.000 0.000
In: 0.500 0.500 0.500
Si: 0.250 0.250 0.250
Si: 0.750 0.750 0.750


Number 1: final energy -21.248 eV per atom. Number 2: final energy -22.946 eV per atom. Number 3: final energy -26.343 eV per atom. Number 4: final energy -17.388 eV per atom.